# K2HoV3F12 PBE with a Hubbard U optimized geometry
data_K2HoV3F12
_cell_length_a 7.7642
_cell_length_b 7.7642
_cell_length_c 7.7642
_cell_angle_alpha 58.64
_cell_angle_beta 58.64
_cell_angle_gamma 58.64
_symmetry_space_group_name_H-M 'P 1'
_symmetry_Int_Tables_number 1
loop_
_symmetry_equiv_pos_as_xyz
'x,y,z'
loop_
_atom_site_label
_atom_site_type_symbol
_atom_site_fract_x
_atom_site_fract_y
_atom_site_fract_z
K1 K 0.0950 0.0950 0.0950
K2 K 0.9050 0.9050 0.9050
Ho1 Ho 0.5000 0.5000 0.5000
V1 V 0.0000 0.5000 0.5000
V2 V 0.5000 0.0000 0.5000
V3 V 0.5000 0.5000 0.0000
F1 F 0.1616 0.5782 0.5782
F2 F 0.1816 0.1816 0.5903
F3 F 0.1816 0.5903 0.1816
F4 F 0.4097 0.8184 0.8184
F5 F 0.4218 0.4218 0.8384
F6 F 0.4218 0.8384 0.4218
F7 F 0.5782 0.1616 0.5782
F8 F 0.5782 0.5782 0.1616
F9 F 0.5903 0.1816 0.1816
F10 F 0.8184 0.4097 0.8184
F11 F 0.8184 0.8184 0.4097
F12 F 0.8384 0.4218 0.4218
# * uncorrected energy: -106.7 eV for the cell shown
# * V: 17.82 Å³ per atom